[1]
## Li4Cr2Cu3Sb3O16 (PBE with a Hubbard U)

Data for Li4Cr2Cu3Sb3O16 after structural relaxation.

Uncorrected energy (eV/atom): -5.952

Unit cell a=5.969 b=6.176 c=9.546 alpha=87.27 beta=89.85 gamma=61.28
Space group P1 (No. 1)
Symmetry-distinct sites (fractional):
Li1 0.000 0.000 0.000 x1
Li2 0.103 0.779 0.551 x1
Li3 0.353 0.282 0.631 x1
Li4 0.668 0.658 0.105 x1
Cr1 0.319 0.359 0.014 x1
Cr2 0.660 0.668 0.522 x1
Cu1 0.167 0.660 0.281 x1
Cu2 0.335 0.823 0.797 x1
Cu3 0.827 0.830 0.798 x1
Sb1 0.166 0.164 0.299 x1
Sb2 0.663 0.165 0.300 x1
Sb3 0.827 0.340 0.784 x1
O1 0.005 0.997 0.703 x1
O2 0.040 0.472 0.170 x1
O3 0.135 0.211 0.911 x1
O4 0.158 0.689 0.917 x1
O5 0.319 0.832 0.402 x1
O6 0.353 0.285 0.419 x1
O7 0.476 0.042 0.169 x1
O8 0.486 0.470 0.171 x1
O9 0.522 0.926 0.664 x1
O10 0.535 0.479 0.643 x1
O11 0.653 0.196 0.909 x1
O12 0.660 0.657 0.893 x1
O13 0.835 0.325 0.404 x1
O14 0.837 0.835 0.404 x1
O15 0.972 0.499 0.646 x1
O16 0.978 0.037 0.186 x1

***

[2]
## Li4Ti3Cr3Cu2O16 (PBE with a Hubbard U)

Data for Li4Ti3Cr3Cu2O16 after structural relaxation.

Uncorrected energy (eV/atom): -7.034

Unit cell a=5.905 b=5.906 c=9.611 alpha=89.59 beta=89.87 gamma=60.15
Space group P1 (No. 1)
Symmetry-distinct sites (fractional):
Li1 0.000 0.000 0.000 x1
Li2 0.013 0.999 0.497 x1
Li3 0.326 0.339 0.400 x1
Li4 0.673 0.664 0.903 x1
Ti1 0.172 0.662 0.716 x1
Ti2 0.669 0.166 0.712 x1
Ti3 0.818 0.837 0.218 x1
Cr1 0.175 0.168 0.718 x1
Cr2 0.329 0.832 0.211 x1
Cr3 0.830 0.340 0.218 x1
Cu1 0.343 0.326 0.987 x1
Cu2 0.662 0.664 0.487 x1
O1 0.003 0.995 0.814 x1
O2 0.047 0.482 0.844 x1
O3 0.169 0.670 0.111 x1
O4 0.173 0.150 0.111 x1
O5 0.331 0.827 0.608 x1
O6 0.340 0.337 0.606 x1
O7 0.487 0.476 0.840 x1
O8 0.491 0.037 0.842 x1
O9 0.509 0.531 0.339 x1
O10 0.511 0.961 0.340 x1
O11 0.666 0.673 0.107 x1
O12 0.674 0.155 0.106 x1
O13 0.833 0.323 0.605 x1
O14 0.839 0.834 0.609 x1
O15 0.956 0.527 0.345 x1
O16 0.997 0.996 0.313 x1

***

[3]
## Li2V4CrCuO12 (PBE with a Hubbard U)

Data for Li2V4CrCuO12 after structural relaxation.

Uncorrected energy (eV/atom): -7.068

Unit cell a=10.871 b=8.567 c=5.655 alpha=90.00 beta=112.83 gamma=90.00
Space group C2 (No. 5)
Symmetry-distinct sites (fractional):
Li1 0.000 0.000 0.000 x2
Li2 0.000 0.451 0.500 x2
V1 0.220 0.331 0.018 x4
V2 0.225 0.123 0.543 x4
Cr1 0.000 0.806 0.500 x2
Cu1 0.000 0.623 0.000 x2
O1 0.101 0.632 0.418 x4
O2 0.106 0.822 0.881 x4
O3 0.116 0.966 0.436 x4
O4 0.151 0.293 0.682 x4
O5 0.157 0.207 0.188 x4
O6 0.185 0.522 0.078 x4

***

What is the uncorrected energy in the second record? -7.034 eV/atom

***

What is the uncorrected energy in the first record? -5.952 eV/atom

***

Copy entry 2 word for word.
## Li4Ti3Cr3Cu2O16 (PBE with a Hubbard U)

Data for Li4Ti3Cr3Cu2O16 after structural relaxation.

Uncorrected energy (eV/atom): -7.034

Unit cell a=5.905 b=5.906 c=9.611 alpha=89.59 beta=89.87 gamma=60.15
Space group P1 (No. 1)
Symmetry-distinct sites (fractional):
Li1 0.000 0.000 0.000 x1
Li2 0.013 0.999 0.497 x1
Li3 0.326 0.339 0.400 x1
Li4 0.673 0.664 0.903 x1
Ti1 0.172 0.662 0.716 x1
Ti2 0.669 0.166 0.712 x1
Ti3 0.818 0.837 0.218 x1
Cr1 0.175 0.168 0.718 x1
Cr2 0.329 0.832 0.211 x1
Cr3 0.830 0.340 0.218 x1
Cu1 0.343 0.326 0.987 x1
Cu2 0.662 0.664 0.487 x1
O1 0.003 0.995 0.814 x1
O2 0.047 0.482 0.844 x1
O3 0.169 0.670 0.111 x1
O4 0.173 0.150 0.111 x1
O5 0.331 0.827 0.608 x1
O6 0.340 0.337 0.606 x1
O7 0.487 0.476 0.840 x1
O8 0.491 0.037 0.842 x1
O9 0.509 0.531 0.339 x1
O10 0.511 0.961 0.340 x1
O11 0.666 0.673 0.107 x1
O12 0.674 0.155 0.106 x1
O13 0.833 0.323 0.605 x1
O14 0.839 0.834 0.609 x1
O15 0.956 0.527 0.345 x1
O16 0.997 0.996 0.313 x1

***

The highest uncorrected energy belongs to which entry? Li4Cr2Cu3Sb3O16